Below is BaNaTiSe2 after structural relaxation, with properties calculated at the PBE level.

Structure (extended XYZ):
```
5
Lattice="6.007 0.000 0.000 0.000 6.007 0.000 0.000 0.000 5.622" Properties=species:S:1:pos:R:3 pbc="T T T"
Ba 0.000 0.000 0.000
Na 0.000 0.000 2.811
Ti 3.003 3.003 2.811
Se 0.000 3.003 0.000
Se 3.003 0.000 0.000
```

Results
- Uncorrected formation energy: 591 meV per atom
- D(E_F): 6.518 states/eV/cell


Below is BaNa2TlSe after structural relaxation, with properties calculated at the PBE level.

Structure (extended XYZ):
```
5
Lattice="5.479 0.000 0.000 0.000 5.479 0.000 0.000 0.000 6.388" Properties=species:S:1:pos:R:3 pbc="T T T"
Ba 0.000 0.000 0.000
Na 0.000 2.740 3.194
Na 2.740 0.000 3.194
Tl 2.740 2.740 3.194
Se 2.740 2.740 0.000
```

Results
- Uncorrected formation energy: -268 meV per atom
- D(E_F): 1.728 states/eV/cell